# AgAs

A geometry-optimized AgAs structure (PBE-GGA, Alexandria via LeMat-Bulk).

Summary:
* formation energy: 228 meV per atom
* uncorrected energy: -3.522 eV/atom
* theoretical density: 7.634 Mg/m³
* space group: Fddd
* magnetization: 0.00 μB per cell

The structure in extended XYZ format:
```
32
Lattice="-0.2128 8.3092 -7.0595 1.8549 -3.5873 -4.2782 -9.4081 -2.1645 -2.2641" Properties=species:S:1:pos:R:3 pbc="T T T"
As -6.3575 2.9489 -8.9720
As -4.3096 -1.8451 -2.0418
As -1.5149 3.7631 -8.1596
As 1.3219 -2.5564 -3.0488
As -0.7260 2.2375 -9.9791
As -5.3237 -2.9994 -7.5813
As -1.5471 -0.1234 -4.3102
As -2.3359 1.4022 -2.4907
As -4.2774 2.0415 -5.8912
As -3.2436 -3.9067 -4.5005
As -3.4886 0.5159 -7.7106
As 0.5330 -1.0308 -1.2294
As -6.1125 -1.4738 -5.7619
As 0.2880 3.3918 -4.4395
As 1.3541 1.3301 -6.8983
As -7.1464 4.4745 -7.1525
Ag -8.8640 -0.9533 -5.0664
Ag -2.5920 3.5827 -4.1279
Ag -5.9950 -3.3863 -3.8050
Ag -7.0289 2.5619 -5.1957
Ag 0.1705 5.3044 -6.3964
Ag -6.3686 0.7068 -7.3991
Ag -2.2184 -0.5104 -0.5339
Ag 1.2044 -0.6439 -5.0057
Ag -1.5582 -2.3655 -2.7373
Ag -4.2664 4.2836 -7.4641
Ag -3.6061 2.4285 -9.6675
Ag -7.1896 -1.6541 -1.7302
Ag -3.2325 -1.6647 -6.0734
Ag -1.3974 1.8506 -6.2028
Ag -8.0429 1.4077 -10.7353
Ag -4.4271 0.0675 -3.9986
```